# SrMgO2 PBE-GGA optimized geometry
data_SrMgO2
_cell_length_a 3.3566
_cell_length_b 3.3566
_cell_length_c 16.5515
_cell_angle_alpha 90.00
_cell_angle_beta 90.00
_cell_angle_gamma 120.00
_symmetry_space_group_name_H-M 'R -3 m'
_symmetry_Int_Tables_number 166
_symmetry_space_group_name_Hall '-R 3 2"'
loop_
_atom_site_label
_atom_site_fract_x
_atom_site_fract_y
_atom_site_fract_z
_atom_site_occupancy
Sr1 0.0000 0.0000 0.0000 1
Mg1 0.0000 0.0000 0.5000 1
O1 0.0000 0.0000 0.2377 1
# - E_form (uncorrected): -243 kJ/mol of atoms
# - N(E_F): 0.0 states/eV/f.u.


# Ho3Zn9Pt2 PBE-GGA optimized geometry
data_Ho3Zn9Pt2
_cell_length_a 4.267
_cell_length_b 8.907
_cell_length_c 13.022
_cell_angle_alpha 90.00
_cell_angle_beta 90.00
_cell_angle_gamma 90.00
_symmetry_space_group_name_H-M 'I m m m'
_symmetry_Int_Tables_number 71
_symmetry_space_group_name_Hall '-I 2 2'
loop_
_atom_site_label
_atom_site_fract_x
_atom_site_fract_y
_atom_site_fract_z
_atom_site_occupancy
Ho1 0.000 0.000 0.000 1
Ho2 0.000 0.000 0.311 1
Zn1 0.000 0.279 0.129 1
Zn2 0.000 0.360 0.326 1
Zn3 0.000 0.500 0.000 1
Pt1 0.000 0.208 0.500 1
# - Energy of formation: -0.52 eV/atom
# - N(E_F): 6.5 states/eV/f.u.


# Ho2AlAu PBE-GGA optimized geometry
data_Ho2AlAu
_cell_length_a 3.541
_cell_length_b 3.541
_cell_length_c 7.421
_cell_angle_alpha 90.00
_cell_angle_beta 90.00
_cell_angle_gamma 90.00
_symmetry_space_group_name_H-M 'P 4/m m m'
_symmetry_Int_Tables_number 123
_symmetry_space_group_name_Hall '-P 4 2'
loop_
_atom_site_label
_atom_site_fract_x
_atom_site_fract_y
_atom_site_fract_z
_atom_site_occupancy
Ho1 0.000 0.000 0.243 1
Al1 0.500 0.500 0.500 1
Au1 0.500 0.500 0.000 1
# - Excess energy over the best structure of this formula in the dataset: 0.0 meV/atom
# - Energy of formation: -0.62 eV/atom
# - N(E_F): 1.8 states/eV/f.u.


# HfNpPd6 PBE-GGA optimized geometry
data_HfNpPd6
_cell_length_a 4.077
_cell_length_b 4.077
_cell_length_c 8.192
_cell_angle_alpha 90.00
_cell_angle_beta 90.00
_cell_angle_gamma 90.00
_symmetry_space_group_name_H-M 'P 4/m m m'
_symmetry_Int_Tables_number 123
_symmetry_space_group_name_Hall '-P 4 2'
loop_
_atom_site_label
_atom_site_fract_x
_atom_site_fract_y
_atom_site_fract_z
_atom_site_occupancy
Hf1 0.000 0.000 0.000 1
Np1 0.000 0.000 0.500 1
Pd1 0.000 0.500 0.238 1
Pd2 0.500 0.500 0.000 1
Pd3 0.500 0.500 0.500 1
# - Energy of formation: -0.65 eV/atom
# - N(E_F): 9.5 states/eV/f.u.


# LaPr2Hg6 PBE-GGA optimized geometry
data_LaPr2Hg6
_cell_length_a 8.8226
_cell_length_b 8.8226
_cell_length_c 3.5256
_cell_angle_alpha 90.00
_cell_angle_beta 90.00
_cell_angle_gamma 120.00
_symmetry_space_group_name_H-M 'P 6/m m m'
_symmetry_Int_Tables_number 191
_symmetry_space_group_name_Hall '-P 6 2'
loop_
_atom_site_label
_atom_site_fract_x
_atom_site_fract_y
_atom_site_fract_z
_atom_site_occupancy
La1 0.0000 0.0000 0.0000 1
Pr1 0.3333 0.6667 0.0000 1
Hg1 0.0000 0.3341 0.5000 1
# - Energy of formation: -0.45 eV/atom
# - N(E_F): 7.4 states/eV/f.u.


# Ho4Re6O19 PBE-GGA optimized geometry
data_Ho4Re6O19
_cell_length_a 8.973
_cell_length_b 8.973
_cell_length_c 8.973
_cell_angle_alpha 90.00
_cell_angle_beta 90.00
_cell_angle_gamma 90.00
_symmetry_space_group_name_H-M 'I 2 3'
_symmetry_Int_Tables_number 197
_symmetry_space_group_name_Hall 'I 2 2 3'
loop_
_atom_site_label
_atom_site_fract_x
_atom_site_fract_y
_atom_site_fract_z
_atom_site_occupancy
Ho1 0.146 0.146 0.854 1
Re1 0.000 0.365 0.500 1
O1 0.000 0.000 0.000 1
O2 0.000 0.000 0.314 1
O3 0.024 0.336 0.719 1
# - E_form (uncorrected): -210 kJ/mol of atoms
# - N(E_F): 3.2 states/eV/f.u.


# ZrMo2Os PBE-GGA optimized geometry
data_ZrMo2Os
_cell_length_a 6.417
_cell_length_b 6.417
_cell_length_c 6.417
_cell_angle_alpha 90.00
_cell_angle_beta 90.00
_cell_angle_gamma 90.00
_symmetry_space_group_name_H-M 'F m -3 m'
_symmetry_Int_Tables_number 225
_symmetry_space_group_name_Hall '-F 4 2 3'
loop_
_atom_site_label
_atom_site_fract_x
_atom_site_fract_y
_atom_site_fract_z
_atom_site_occupancy
Zr1 0.000 0.000 0.000 1
Mo1 0.250 0.250 0.250 1
Os1 0.000 0.000 0.500 1
# - Excess energy over the best structure of this formula in the dataset: 144.8 meV/atom
# - Energy of formation: 0.02 eV/atom
# - N(E_F): 2.4 states/eV/f.u.


# AgHg2Pd5 PBE-GGA optimized geometry
data_AgHg2Pd5
_cell_length_a 5.748
_cell_length_b 11.494
_cell_length_c 4.098
_cell_angle_alpha 90.00
_cell_angle_beta 90.00
_cell_angle_gamma 90.00
_symmetry_space_group_name_H-M 'P b a m'
_symmetry_Int_Tables_number 55
loop_
_symmetry_equiv_pos_as_xyz
'x,y,z'
'-x,-y,-z'
'-x,-y,z'
'x,y,-z'
'x+1/2,-y+1/2,-z'
'-x+1/2,y+1/2,z'
'-x+1/2,y+1/2,-z'
'x+1/2,-y+1/2,z'
loop_
_atom_site_label
_atom_site_fract_x
_atom_site_fract_y
_atom_site_fract_z
_atom_site_occupancy
Ag1 0.000 0.000 0.000 1
Hg1 0.237 0.372 0.500 1
Pd1 0.000 0.500 0.000 1
Pd2 0.015 0.750 0.000 1
Pd3 0.241 0.124 0.500 1
# - Excess energy over the best structure of this formula in the dataset: 0.0 meV/atom
# - Energy of formation: -0.11 eV/atom
# - N(E_F): 8.2 states/eV/f.u.


Please write out number 6 again, unchanged.
# Ho4Re6O19 PBE-GGA optimized geometry
data_Ho4Re6O19
_cell_length_a 8.973
_cell_length_b 8.973
_cell_length_c 8.973
_cell_angle_alpha 90.00
_cell_angle_beta 90.00
_cell_angle_gamma 90.00
_symmetry_space_group_name_H-M 'I 2 3'
_symmetry_Int_Tables_number 197
_symmetry_space_group_name_Hall 'I 2 2 3'
loop_
_atom_site_label
_atom_site_fract_x
_atom_site_fract_y
_atom_site_fract_z
_atom_site_occupancy
Ho1 0.146 0.146 0.854 1
Re1 0.000 0.365 0.500 1
O1 0.000 0.000 0.000 1
O2 0.000 0.000 0.314 1
O3 0.024 0.336 0.719 1
# - E_form (uncorrected): -210 kJ/mol of atoms
# - N(E_F): 3.2 states/eV/f.u.


The highest N(E_F) belongs to which entry?
HfNpPd6


What is the formula in the seventh record?
ZrMo2Os


Which formula does entry 3 have?
Ho2AlAu